Dy2Sn4Hg: relaxed, PBE.

Values from the calculation:
formation enthalpy at 0 K: -0.3995 eV/atom
total moment: 0.0 μB per formula unit
E above lowest polymorph: 21 meV/atom
V: 190 Å³/cell

abc: 4.476 4.476 9.463
angles: 90.00 90.00 90.00
Space group P-4m2 (No. 115)
Inequivalent atoms, fractional coordinates:
Dy1 0.000 0.500 0.236 x2
Sn1 0.000 0.000 0.500 x1
Sn2 0.000 0.500 0.802 x2
Sn3 0.500 0.500 0.500 x1
Hg1 0.500 0.500 0.000 x1